(1)
{
  "formula": "CuOs2Pb",
  "functional": "PBE-GGA",
  "state": "optimized geometry",
  "space_group": "P2/m",
  "formation_energy_ev_per_fu": 3.3,
  "lattice_angstrom": [[-0.8339, -4.2438, 1.2190], [2.7505, -0.2901, 0.8715], [-1.2371, 1.6153, 4.7769]],
  "species": ["Pb", "Os", "Os", "Cu"],
  "fractional_positions": [[0.5000, 0.2500, 0.2500], [0.0000, 0.4903, 0.5450], [0.0000, 0.0097, 0.9550], [0.5000, 0.7500, 0.7500]]
}

***

(2)
{
  "formula": "CuOsPb2",
  "functional": "PBE-GGA",
  "state": "optimized geometry",
  "space_group": "I-4m2",
  "formation_energy_ev_per_fu": 3.4,
  "polymorph_energy_mev_per_atom": 304,
  "lattice_angstrom": [[-1.4093, -4.8811, -2.1446], [2.6221, -4.3965, 2.0510], [-2.6839, 4.3467, 2.0768]],
  "species": ["Cu", "Pb", "Os", "Pb"],
  "fractional_positions": [[0.5000, 0.5000, 0.0000], [0.0000, 0.0000, 0.0000], [0.7500, 0.2500, 0.5000], [0.2500, 0.7500, 0.5000]]
}

***

(3)
{
  "formula": "Cu4OsPb",
  "functional": "PBE-GGA",
  "state": "optimized geometry",
  "space_group": "F-43m",
  "formation_energy_ev_per_fu": 2.9,
  "lattice_angstrom": [[-0.5543, 3.1883, 3.7491], [-2.7570, 4.0705, -0.5980], [-4.3719, 0.3888, 2.2942]],
  "species": ["Cu", "Pb", "Cu", "Cu", "Cu", "Os"],
  "fractional_positions": [[0.3761, 0.8717, 0.3761], [0.0000, 0.0000, 0.0000], [0.3761, 0.3761, 0.3761], [0.8717, 0.3761, 0.3761], [0.3761, 0.3761, 0.8717], [0.7500, 0.7500, 0.7500]]
}

***

(4)
{
  "formula": "CuOs2Pb",
  "functional": "PBE-GGA",
  "state": "optimized geometry",
  "space_group": "F-43m",
  "formation_energy_ev_per_fu": 3.7,
  "lattice_angstrom": [[4.5141, 0.0000, 0.0000], [2.2570, 3.9093, 0.0000], [2.2570, 1.3031, 3.6857]],
  "species": ["Pb", "Cu", "Os", "Os"],
  "fractional_positions": [[0.2500, 0.2500, 0.2500], [0.5000, 0.5000, 0.5000], [0.7500, 0.7500, 0.7500], [0.0000, 0.0000, 0.0000]]
}

***

(5)
{
  "formula": "CuOs2Pb",
  "functional": "PBE-GGA",
  "state": "optimized geometry",
  "space_group": "C2/m",
  "formation_energy_ev_per_fu": 3.0,
  "lattice_angstrom": [[4.6644, -0.0011, 0.0042], [3.7383, 2.7897, 0.0042], [0.7963, 0.2643, 5.0900]],
  "species": ["Os", "Pb", "Os", "Cu"],
  "fractional_positions": [[0.9884, 0.9884, 0.0473], [0.7500, 0.7500, 0.7500], [0.5116, 0.5116, 0.4527], [0.2500, 0.2500, 0.2500]]
}

***

(6)
{
  "formula": "CuOs4Pb",
  "functional": "PBE-GGA",
  "state": "optimized geometry",
  "space_group": "F-43m",
  "formation_energy_ev_per_fu": 6.2,
  "lattice_angstrom": [[-3.0230, -3.5534, 2.4334], [-5.2374, 0.2646, -0.4312], [-2.5943, -3.6135, -2.8106]],
  "species": ["Os", "Os", "Os", "Cu", "Os", "Pb"],
  "fractional_positions": [[0.6255, 0.6255, 0.6255], [0.1234, 0.6255, 0.6255], [0.6255, 0.6255, 0.1234], [0.0000, 0.0000, 0.0000], [0.6255, 0.1234, 0.6255], [0.2500, 0.2500, 0.2500]]
}

***

(7)
{
  "formula": "CuOsPb2",
  "functional": "PBE-GGA",
  "state": "optimized geometry",
  "space_group": "P4/mmm",
  "formation_energy_ev_per_fu": 3.0,
  "polymorph_energy_mev_per_atom": 207,
  "lattice_angstrom": [[3.4286, 0.0000, 0.0000], [0.0000, 3.4286, 0.0000], [0.0000, 0.0000, 6.9024]],
  "species": ["Pb", "Os", "Cu", "Pb"],
  "fractional_positions": [[0.0000, 0.0000, 0.9924], [0.5000, 0.5000, 0.7500], [0.5000, 0.5000, 0.2500], [0.0000, 0.0000, 0.5076]]
}

***

(8)
{
  "formula": "CuOs2Pb",
  "functional": "PBE-GGA",
  "state": "optimized geometry",
  "space_group": "Pmm2",
  "formation_energy_ev_per_fu": 2.3,
  "lattice_angstrom": [[2.8634, 0.0000, 0.0000], [0.0000, 3.5643, 0.0000], [0.0000, 0.0000, 6.9181]],
  "species": ["Pb", "Os", "Os", "Cu"],
  "fractional_positions": [[0.0000, 0.0000, 0.5053], [0.0000, 0.0000, 0.0112], [0.5000, 0.5000, 0.1847], [0.5000, 0.5000, 0.7988]]
}

***

(9)
{
  "formula": "CuOs2Pb",
  "functional": "PBE-GGA",
  "state": "optimized geometry",
  "space_group": "Imm2",
  "formation_energy_ev_per_fu": 3.4,
  "lattice_angstrom": [[6.5161, 0.8985, 0.0077], [3.8743, 5.3157, -0.0077], [-4.6918, -3.9488, 2.3792]],
  "species": ["Os", "Cu", "Pb", "Os"],
  "fractional_positions": [[0.9249, 0.9249, 0.0000], [0.2803, 0.7803, 0.5000], [0.5412, 0.5412, 0.0000], [0.7536, 0.2536, 0.5000]]
}

***

(10)
{
  "formula": "CuOsPb3",
  "functional": "PBE-GGA",
  "state": "optimized geometry",
  "space_group": "Pm-3m",
  "formation_energy_ev_per_fu": 3.8,
  "polymorph_energy_mev_per_atom": 0,
  "lattice_angstrom": [[-4.2724, 1.3606, 2.8107], [-1.8798, -4.9241, -0.4736], [2.4935, -1.3808, 4.4588]],
  "species": ["Pb", "Pb", "Os", "Pb", "Cu"],
  "fractional_positions": [[0.0000, 0.5000, 0.0000], [0.0000, 0.0000, 0.5000], [0.0000, 0.0000, 0.0000], [0.5000, 0.0000, 0.0000], [0.5000, 0.5000, 0.5000]]
}

***

Calculated E_tot, -26.95 -19.39 -28.40 -26.53 -27.27 -46.56 -19.77 -27.92 -26.86 -22.67 eV/cell (same order as the records).